This record from the Alexandria database describes La2PSe after structural relaxation. The functional is PBE.

For the uncorrected formation energy, the calculation gives -177 kJ/mol of atoms. Its spin magnetization is 0.0 μB/cell. The excess energy over the best structure of this formula in the dataset is 24 meV per atom.

The space group is P4/mmm (No. 123) and the conventional cell measures 4.2920, 4.2920 and 6.0631 Å, with angles of 90.00, 90.00 and 90.00 degrees. Symmetry generates all atoms from La at (0.0000, 0.0000, 0.0000), La at (0.5000, 0.5000, 0.5000), P at (0.0000, 0.0000, 0.5000) and Se at (0.5000, 0.5000, 0.0000).